The following is a PBE calculation of an optimized crystal structure of LiInHg5, from Alexandria via LeMat-Bulk.

* VASP energy: -5.8 eV per cell
* polymorph energy (0 for the lowest one): 0.1320 eV/atom
* space group: No. 71
* formation energy: 0.055 eV per atom
* calculated density: 7.6 g/cm3

Lattice parameters (Å, degrees): 5.2775 7.4729 7.4729 67.07 69.32 69.32
Fractional coordinates of all 7 atoms:
Li 0.5000 0.5000 0.5000
In 0.0000 0.0000 0.0000
Hg 0.5000 0.1891 0.8109
Hg 0.5000 0.8109 0.1891
Hg 0.7358 0.2642 0.2642
Hg 0.2642 0.7358 0.7358
Hg 0.0000 0.5000 0.5000

The following is a PBE calculation of an optimized crystal structure of ZnCoCuGe, from Alexandria via LeMat-Bulk.

* VASP energy: -17.0 eV per cell
* space group: No. 216
* formation energy: 0.016 eV per atom
* calculated density: 8.5 g/cm3

Lattice parameters (Å, degrees): 4.1605 4.1605 4.1605 60.00 60.00 60.00
Each line ends with the local moment (μB).
Fractional coordinates of all 4 atoms:
Ge 0.2500 0.2500 0.2500  0.01
Co 0.0000 0.0000 0.0000  0.35
Zn 0.7500 0.7500 0.7500  0.00
Cu 0.5000 0.5000 0.5000  0.01

The following is a PBE calculation of an optimized crystal structure of AlCr2Ag, from Alexandria via LeMat-Bulk.

* VASP energy: -25.0 eV per cell
* space group: No. 44
* formation energy: 0.204 eV per atom
* calculated density: 6.7 g/cm3

Lattice parameters (Å, degrees): 5.0257 5.0257 5.0257 143.88 127.17 65.68
Each line ends with the local moment (μB).
Fractional coordinates of all 4 atoms:
Cr 0.9781 0.9781 0.0000  -2.12
Cr 0.7755 0.2755 0.5000  2.08
Al 0.2435 0.7435 0.5000  -0.01
Ag 0.5029 0.5029 0.0000  -0.01

The following is a PBE calculation of an optimized crystal structure of YAl2H2, from Alexandria via LeMat-Bulk.

* VASP energy: -43.0 eV per cell
* space group: No. 127
* calculated density: 3.3 g/cm3

Lattice parameters (Å, degrees): 5.9257 5.9257 4.1585 90.00 90.00 90.00
Fractional coordinates of all 10 atoms:
Y 0.0000 0.0000 0.0000
Y 0.5000 0.5000 0.0000
H 0.3207 0.8207 0.0000
H 0.8207 0.6793 0.0000
H 0.6793 0.1793 0.0000
H 0.1793 0.3207 0.0000
Al 0.3163 0.8163 0.5000
Al 0.8163 0.6837 0.5000
Al 0.6837 0.1837 0.5000
Al 0.1837 0.3163 0.5000

The following is a PBE calculation of an optimized crystal structure of Nd3Zn8Pt, from Alexandria via LeMat-Bulk.

* VASP energy: -34.6 eV per cell
* space group: No. 160
* formation energy: -0.336 eV per atom
* calculated density: 8.4 g/cm3

Lattice parameters (Å, degrees): 5.4399 5.4399 9.4442 73.26 73.26 60.00
Fractional coordinates of all 12 atoms:
Nd 0.3768 0.3768 0.8696
Nd 0.9914 0.9914 0.0258
Nd 0.5044 0.5044 0.4868
Zn 0.9354 0.4365 0.1917
Zn 0.4451 0.9387 0.6774
Zn 0.4365 0.4365 0.1917
Zn 0.9387 0.9387 0.6774
Zn 0.1894 0.1894 0.4318
Zn 0.6870 0.6870 0.9391
Zn 0.4365 0.9354 0.1917
Zn 0.9387 0.4451 0.6774
Pt 0.8701 0.8701 0.3896

The following is a PBE calculation of an optimized crystal structure of TbTmTlHg, from Alexandria via LeMat-Bulk.

* VASP energy: -13.4 eV per cell
* polymorph energy (0 for the lowest one): 0.0000 eV/atom
* space group: No. 99
* formation energy: -0.404 eV per atom
* calculated density: 11.6 g/cm3

Lattice parameters (Å, degrees): 3.7475 3.7475 7.4864 90.00 90.00 90.00
Each line ends with the local moment (μB).
Fractional coordinates of all 4 atoms:
Tb 0.5000 0.5000 0.1148  0.10
Tm 0.5000 0.5000 0.5964  0.02
Tl 0.0000 0.0000 0.8512  0.00
Hg 0.0000 0.0000 0.3656  0.00

The following is a PBE calculation of an optimized crystal structure of KGaGe, from Alexandria via LeMat-Bulk.

* VASP energy: -18.0 eV per cell
* space group: No. 8
* formation energy: -0.085 eV per atom
* calculated density: 3.4 g/cm3

Lattice parameters (Å, degrees): 19.1948 7.5368 7.5368 150.45 155.98 24.02
Fractional coordinates of all 6 atoms:
Ge 0.0146 0.1224 0.8776
Ge 0.1004 0.6375 0.3625
K 0.8766 0.5884 0.4116
K 0.5477 0.2468 0.7532
Ga 0.3154 0.2049 0.7951
Ga 0.4073 0.7255 0.2745

The following is a PBE calculation of an optimized crystal structure of RbTc2Se2, from Alexandria via LeMat-Bulk.

* VASP energy: -28.3 eV per cell
* polymorph energy (0 for the lowest one): 0.0000 eV/atom
* space group: No. 139
* energy relative to the elements, uncorrected: 0.072 eV/atom
* calculated density: 6.8 g/cm3

Lattice parameters (Å, degrees): 4.8900 4.8900 5.6859 64.53 64.53 90.00
Fractional coordinates of all 5 atoms:
Se 0.7500 0.2500 0.5000
Se 0.2500 0.7500 0.5000
Tc 0.3788 0.3788 0.2425
Tc 0.6212 0.6212 0.7575
Rb 0.0000 0.0000 0.0000

The following is a PBE calculation of an optimized crystal structure of UPb2S5, from Alexandria via LeMat-Bulk.

* VASP energy: -90.9 eV per cell
* space group: No. 63
* energy relative to the elements, uncorrected: -0.766 eV/atom
* calculated density: 5.3 g/cm3

Lattice parameters (Å, degrees): 5.4563 7.7156 12.9995 90.00 90.00 110.71
Fractional coordinates of all 16 atoms:
U 0.8205 0.6409 0.7500
U 0.1795 0.3591 0.2500
Pb 0.8473 0.6947 0.4372
Pb 0.8473 0.6947 0.0628
Pb 0.1527 0.3053 0.5628
Pb 0.1527 0.3053 0.9372
S 0.9477 0.8954 0.8767
S 0.9477 0.8954 0.6233
S 0.2949 0.5898 0.4034
S 0.2949 0.5898 0.0966
S 0.7042 0.4083 0.2500
S 0.2958 0.5917 0.7500
S 0.7051 0.4102 0.5966
S 0.7051 0.4102 0.9034
S 0.0523 0.1046 0.1233
S 0.0523 0.1046 0.3767

The following is a PBE calculation of an optimized crystal structure of V6PtRh3, from Alexandria via LeMat-Bulk.

* VASP energy: -84.5 eV per cell
* space group: No. 12
* formation energy: -0.172 eV per atom
* calculated density: 9.4 g/cm3

Lattice parameters (Å, degrees): 7.5356 5.0037 5.0037 57.93 66.55 66.55
Each line ends with the local moment (μB).
Fractional coordinates of all 10 atoms:
V 0.3078 0.0721 0.5562  -0.10
V 0.6922 0.4438 0.9279  -0.10
V 0.6922 0.9279 0.4438  -0.10
V 0.3078 0.5562 0.0721  -0.10
V 0.0687 0.6400 0.6400  0.53
V 0.9313 0.3600 0.3600  0.53
Pt 0.5000 0.5000 0.5000  -0.01
Rh 0.2943 0.0744 0.0744  0.01
Rh 0.7057 0.9256 0.9256  0.01
Rh 0.0000 0.0000 0.0000  0.01

The following is a PBE calculation of an optimized crystal structure of TbPmCdAg, from Alexandria via LeMat-Bulk.

* VASP energy: -14.4 eV per cell
* polymorph energy (0 for the lowest one): 0.0000 eV/atom
* space group: No. 99
* formation energy: -0.302 eV per atom
* calculated density: 8.3 g/cm3

Lattice parameters (Å, degrees): 3.7288 3.7288 7.5374 90.00 90.00 90.00
Each line ends with the local moment (μB).
Fractional coordinates of all 4 atoms:
Tb 0.5000 0.5000 0.5973  0.01
Pm 0.5000 0.5000 0.1130  0.08
Cd 0.0000 0.0000 0.8475  0.00
Ag 0.0000 0.0000 0.3701  0.00

The following is a PBE calculation of an optimized crystal structure of Pa2Ti2S7, from Alexandria via LeMat-Bulk.

* VASP energy: -78.5 eV per cell
* polymorph energy (0 for the lowest one): 0.0000 eV/atom
* space group: No. 12
* energy relative to the elements, uncorrected: -1.346 eV/atom
* calculated density: 4.5 g/cm3

Lattice parameters (Å, degrees): 6.6255 6.9271 6.9271 114.80 92.62 92.62
Each line ends with the local moment (μB).
Fractional coordinates of all 11 atoms:
Pa 0.5000 0.3267 0.6733  0.73
Pa 0.5000 0.6733 0.3267  0.73
Ti 0.8887 0.2773 0.2773  0.48
Ti 0.1113 0.7227 0.7227  0.48
S 0.2818 0.9677 0.6098  -0.03
S 0.7182 0.3902 0.0323  -0.03
S 0.7182 0.0323 0.3902  -0.03
S 0.2818 0.6098 0.9677  -0.03
S 0.0000 0.0000 0.0000  -0.05
S 0.7645 0.5920 0.5920  -0.03
S 0.2355 0.4080 0.4080  -0.03

The following is a PBE calculation of an optimized crystal structure of USnIrPt, from Alexandria via LeMat-Bulk.

* VASP energy: -31.9 eV per cell
* space group: No. 216
* formation energy: -0.420 eV per atom
* calculated density: 15.8 g/cm3

Lattice parameters (Å, degrees): 4.8019 4.8019 4.8019 60.00 60.00 60.00
Each line ends with the local moment (μB).
Fractional coordinates of all 4 atoms:
Ir 0.2500 0.2500 0.2500  -0.14
U 0.0000 0.0000 0.0000  1.65
Sn 0.5000 0.5000 0.5000  0.02
Pt 0.7500 0.7500 0.7500  -0.07

The following is a PBE calculation of an optimized crystal structure of K2PW, from Alexandria via LeMat-Bulk.

* VASP energy: -15.4 eV per cell
* polymorph energy (0 for the lowest one): 0.9435 eV/atom
* space group: No. 216
* formation energy: 1.294 eV per atom
* calculated density: 4.7 g/cm3

Lattice parameters (Å, degrees): 5.2594 5.2594 5.2594 60.00 60.00 60.00
Each line ends with the local moment (μB).
Fractional coordinates of all 4 atoms:
K 0.0000 0.0000 0.0000  0.10
K 0.2500 0.2500 0.2500  0.04
P 0.5000 0.5000 0.5000  -0.08
W 0.7500 0.7500 0.7500  3.27

The following is a PBE calculation of an optimized crystal structure of SrYP2Cl, from Alexandria via LeMat-Bulk.

* VASP energy: -21.2 eV per cell
* polymorph energy (0 for the lowest one): 0.8304 eV/atom
* space group: No. 123
* energy relative to the elements, uncorrected: -0.087 eV/atom
* calculated density: 3.0 g/cm3

Lattice parameters (Å, degrees): 5.3702 5.3702 5.1814 90.00 90.00 90.00
Fractional coordinates of all 5 atoms:
Y 0.5000 0.5000 0.5000
Sr 0.0000 0.0000 0.0000
P 0.0000 0.5000 0.0000
P 0.5000 0.0000 0.0000
Cl 0.0000 0.0000 0.5000

The following is a PBE calculation of an optimized crystal structure of NbHg2Pt, from Alexandria via LeMat-Bulk.

* VASP energy: -29.6 eV per cell
* polymorph energy (0 for the lowest one): 0.2298 eV/atom
* space group: No. 122
* formation energy: 0.473 eV per atom
* calculated density: 13.7 g/cm3

Lattice parameters (Å, degrees): 7.7333 7.7333 6.1375 50.95 50.95 90.00
Fractional coordinates of all 8 atoms:
Nb 0.5000 0.5000 0.0000
Nb 0.2500 0.7500 0.5000
Hg 0.6338 0.1250 0.2500
Hg 0.1162 0.6250 0.2500
Hg 0.3750 0.3662 0.7500
Hg 0.8750 0.8838 0.7500
Pt 0.0000 0.0000 0.0000
Pt 0.7500 0.2500 0.5000

The following is a PBE calculation of an optimized crystal structure of HoLuPuAl, from Alexandria via LeMat-Bulk.

* VASP energy: -27.2 eV per cell
* space group: No. 216
* formation energy: -0.004 eV per atom
* calculated density: 9.9 g/cm3

Lattice parameters (Å, degrees): 5.2507 5.2507 5.2507 60.00 60.00 60.00
Each line ends with the local moment (μB).
Fractional coordinates of all 4 atoms:
Al 0.5000 0.5000 0.5000  -0.02
Lu 0.0000 0.0000 0.0000  0.32
Ho 0.2500 0.2500 0.2500  0.17
Pu 0.7500 0.7500 0.7500  5.45

The following is a PBE calculation of an optimized crystal structure of Sc4SnPtRh2, from Alexandria via LeMat-Bulk.

* VASP energy: -57.5 eV per cell
* space group: No. 166
* formation energy: -0.922 eV per atom
* calculated density: 7.8 g/cm3

Lattice parameters (Å, degrees): 4.7069 4.7069 8.2039 73.33 73.33 60.00
Fractional coordinates of all 8 atoms:
Sc 0.3817 0.3817 0.8549
Sc 0.8699 0.8699 0.3903
Sc 0.1301 0.1301 0.6097
Sc 0.6183 0.6183 0.1451
Sn 0.0000 0.0000 0.0000
Pt 0.5000 0.5000 0.5000
Rh 0.7476 0.7476 0.7572
Rh 0.2524 0.2524 0.2428

The following is a PBE calculation of an optimized crystal structure of U2Si4Ni3Rh, from Alexandria via LeMat-Bulk.

* VASP energy: -75.4 eV per cell
* space group: No. 115
* energy relative to the elements, uncorrected: -0.639 eV/atom
* calculated density: 9.5 g/cm3

Lattice parameters (Å, degrees): 3.9677 3.9677 9.6453 90.00 90.00 90.00
Each line ends with the local moment (μB).
Fractional coordinates of all 10 atoms:
U 0.5000 0.0000 0.2443  1.69
U 0.0000 0.5000 0.7557  1.69
Si 0.5000 0.5000 0.0000  -0.01
Si 0.0000 0.0000 0.0000  -0.02
Si 0.5000 0.0000 0.6402  0.00
Si 0.0000 0.5000 0.3598  0.00
Ni 0.0000 0.0000 0.5000  0.23
Ni 0.5000 0.0000 0.8780  -0.02
Ni 0.0000 0.5000 0.1220  -0.02
Rh 0.5000 0.5000 0.5000  0.08

The following is a PBE calculation of an optimized crystal structure of KYCoC2, from Alexandria via LeMat-Bulk.

* VASP energy: -19.3 eV per cell
* space group: No. 123
* formation energy: 2.760 eV per atom
* calculated density: 3.9 g/cm3

Lattice parameters (Å, degrees): 4.5894 4.2886 4.5894 90.00 90.00 90.00
Each line ends with the local moment (μB).
Fractional coordinates of all 5 atoms:
Y 0.5000 0.5000 0.5000  -0.04
K 0.0000 0.0000 0.0000  -0.05
Co 0.0000 0.5000 0.0000  1.45
C 0.0000 0.0000 0.5000  -0.01
C 0.5000 0.0000 0.0000  -0.03